Material: TiSe
Method: DFT, PBE-GGA
State: relaxed

## Properties
For the raw formation energy, the calculation gives -656 meV per atom. Its symmetry is P6_3mc, No. 186. The electronic total energy comes out at -6.346 eV/atom.

a b c (Å): 3.6062 3.6062 7.7417
angles (deg): 90.00 90.00 120.00
Closest atoms and distances in Å follow each position.
Fractional coordinates of all 4 atoms:
Ti (0.3333, 0.6667, 0.3809)  4 Se 2.48-2.50
Ti (0.6667, 0.3333, 0.8809)  4 Se 2.48-2.50
Se (0.6667, 0.3333, 0.2011)  4 Ti 2.48-2.50
Se (0.3333, 0.6667, 0.7011)  4 Ti 2.48-2.50